# PBE+U KVOs2O8, optimized geometry
data_KVOs2O8
_chemical_formula_sum 'K1 V1 Os2 O8'
_cell_length_a 5.7735
_cell_length_b 5.7735
_cell_length_c 7.3428
_cell_angle_alpha 90.00
_cell_angle_beta 90.00
_cell_angle_gamma 120.00
_space_group_name_H-M_alt 'P 1'
_space_group_IT_number 1
_space_group_name_Hall 'P 1'
loop_
_atom_site_label
_atom_site_type_symbol
_atom_site_fract_x
_atom_site_fract_y
_atom_site_fract_z
_atom_site_occupancy
O1 O 0.3272 0.1662 0.3342 1
O2 O 0.1610 0.3272 0.6658 1
O3 O 0.8338 0.1610 0.3342 1
O4 O 0.8390 0.6728 0.3342 1
O5 O 0.6667 0.3333 0.0114 1
O6 O 0.6728 0.8338 0.6658 1
O7 O 0.3333 0.6667 0.9886 1
O8 O 0.1662 0.8390 0.6658 1
Os1 Os 0.3333 0.6667 0.7474 1
Os2 Os 0.6667 0.3333 0.2526 1
K1 K 0.0000 0.0000 0.0000 1
V1 V 0.0000 0.0000 0.5000 1
# * calculated total energy: -85.2 eV per cell
# * spin magnetization: 0.00 μB per cell
# * Fermi-level density of states: 0.507 states/eV per atom